1.
# CsIrSe2N

A geometry-optimized CsIrSe2N structure (GGA-PBEsol, Alexandria).

Summary:
The value obtained for the energy above the lowest structure with this stoichiometry is 251.4 kJ/mol of atoms. As for the crystal system: tetragonal. The space group is P4/mmm, No. 123. For the total magnetic moment, the calculation gives 0.322 μB/f.u. The density of states at the Fermi level is 6.44 states/eV/cell. The total energy comes out at -0.1976 Ry/atom. The calculation puts the density at 6.861 g cm⁻³. As for the volume: 120.3 Å³/f.u.

Cell lengths 4.0158, 5.4734, 5.4734 Å; angles 90.00, 90.00, 90.00 degrees
Site moments in Bohr magnetons follow the coordinates.
Fractional positions:
1 N 0.5000 0.0000 0.0000  -0.02
2 Se 0.0000 0.5000 0.0000  0.00
3 Se 0.0000 0.0000 0.5000  0.00
4 Ir 0.5000 0.5000 0.5000  0.34
5 Cs 0.0000 0.0000 0.0000  -0.01

=====

2.
# K2Ca2C3O9

A geometry-optimized K2Ca2C3O9 structure (GGA-PBEsol, Alexandria).

Summary:
As for the crystal system: trigonal. The space group is R3, No. 146. For the total magnetic moment, the calculation gives 0.001 μB/f.u. The density of states at the Fermi level is 0.00 states/eV/cell. The total energy comes out at -0.5348 Ry/atom. The calculation puts the density at 2.686 g cm⁻³. As for the volume: 209.2 Å³/f.u.

Cell lengths 8.0276, 8.0276, 8.0276 Å; angles 108.01, 108.01, 108.01 degrees
Fractional positions:
1 O 0.2822 0.6476 0.5770
2 O 0.1894 0.9007 0.8454
3 O 0.1090 0.6640 0.9424
4 O 0.6640 0.9424 0.1090
5 O 0.0229 0.5703 0.3052
6 O 0.8454 0.1894 0.9007
7 O 0.3052 0.0229 0.5703
8 O 0.5703 0.3052 0.0229
9 O 0.6408 0.6667 0.8966
10 O 0.2807 0.5250 0.2850
11 O 0.9007 0.8454 0.1894
12 O 0.9424 0.1090 0.6640
13 O 0.6667 0.8966 0.6408
14 O 0.8966 0.6408 0.6667
15 O 0.5250 0.2850 0.2807
16 O 0.2850 0.2807 0.5250
17 O 0.6476 0.5770 0.2822
18 O 0.5770 0.2822 0.6476
19 Ca 0.8302 0.4937 0.9766
20 Ca 0.4937 0.9766 0.8302
21 Ca 0.5536 0.5536 0.5536
22 Ca 0.9766 0.8302 0.4937
23 C 0.3884 0.1961 0.5817
24 C 0.7349 0.8195 0.0664
25 C 0.0664 0.7349 0.8195
26 C 0.8195 0.0664 0.7349
27 C 0.5817 0.3884 0.1961
28 C 0.1961 0.5817 0.3884
29 K 0.8943 0.2985 0.4446
30 K 0.2985 0.4446 0.8943
31 K 0.1300 0.1300 0.1300
32 K 0.4446 0.8943 0.2985

=====

3.
# KSe2NF

A geometry-optimized KSe2NF structure (GGA-PBEsol, Alexandria).

Summary:
As for the crystal system: tetragonal. The space group is P4/mmm, No. 123. For the total magnetic moment, the calculation gives 7.000 μB/f.u. The density of states at the Fermi level is 6.67 states/eV/cell. The total energy comes out at -0.1715 Ry/atom. The calculation puts the density at 1.820 g cm⁻³. As for the volume: 209.9 Å³/f.u.

Cell lengths 5.3820, 6.2453, 6.2453 Å; angles 90.00, 90.00, 90.00 degrees
Site moments in Bohr magnetons follow the coordinates.
Fractional positions:
1 F 0.5000 0.5000 0.5000  0.42
2 Se 0.0000 0.5000 0.0000  1.05
3 Se 0.0000 0.0000 0.5000  1.05
4 K 0.0000 0.0000 0.0000  0.02
5 N 0.5000 0.0000 0.0000  1.87

=====

4.
# LaMg2Al

A geometry-optimized LaMg2Al structure (GGA-PBEsol, Alexandria).

Summary:
As for the crystal system: orthorhombic. The space group is Cmmm, No. 65. The formation energy comes out at 72 meV/atom. For the total magnetic moment, the calculation gives 0.001 μB/f.u. The density of states at the Fermi level is 3.22 states/eV/cell. The total energy comes out at -0.2313 Ry/atom. The calculation puts the density at 3.557 g cm⁻³. As for the volume: 100.1 Å³/f.u.

Cell lengths 3.1681, 5.8570, 5.8570 Å; angles 112.86, 90.00, 90.00 degrees
Fractional positions:
1 Mg 0.0000 0.0000 0.5000
2 Mg 0.0000 0.5000 0.0000
3 La 0.5000 0.5000 0.5000
4 Al 0.5000 0.0000 0.0000

=====

5.
# HgMoSe2Br

A geometry-optimized HgMoSe2Br structure (GGA-PBEsol, Alexandria).

Summary:
As for the crystal system: tetragonal. The space group is P4/mmm, No. 123. For the total magnetic moment, the calculation gives 0.001 μB/f.u. The density of states at the Fermi level is 3.97 states/eV/cell. The total energy comes out at -0.3184 Ry/atom. The calculation puts the density at 7.269 g cm⁻³. As for the volume: 122.1 Å³/f.u.

Cell lengths 4.8432, 4.8432, 5.2039 Å; angles 90.00, 90.00, 90.00 degrees
Fractional positions:
1 Br 0.0000 0.0000 0.5000
2 Hg 0.5000 0.5000 0.5000
3 Mo 0.0000 0.0000 0.0000
4 Se 0.5000 0.0000 0.0000
5 Se 0.0000 0.5000 0.0000

=====

6.
# TlP2Ru

A geometry-optimized TlP2Ru structure (GGA-PBEsol, Alexandria).

Summary:
The value obtained for the energy above the lowest structure with this stoichiometry is 63.9 kJ/mol of atoms. As for the crystal system: orthorhombic. The space group is Cmmm, No. 65. The formation energy comes out at 605 meV/atom. For the total magnetic moment, the calculation gives 0.000 μB/f.u. The density of states at the Fermi level is 2.45 states/eV/cell. The total energy comes out at -0.4036 Ry/atom. The calculation puts the density at 9.419 g cm⁻³. As for the volume: 64.8 Å³/f.u.

Cell lengths 3.2533, 4.5763, 4.5763 Å; angles 108.07, 90.00, 90.00 degrees
Fractional positions:
1 Tl 0.5000 0.5000 0.5000
2 P 0.0000 0.5000 0.0000
3 P 0.0000 0.0000 0.5000
4 Ru 0.5000 0.0000 0.0000

=====

7.
# LiTm2In

A geometry-optimized LiTm2In structure (GGA-PBEsol, Alexandria).

Summary:
As for the crystal system: cubic. The space group is Fm-3m, No. 225. The formation energy comes out at -267 meV/atom. For the total magnetic moment, the calculation gives 0.000 μB/f.u. The density of states at the Fermi level is 2.95 states/eV/cell. The total energy comes out at -0.2906 Ry/atom. The calculation puts the density at 8.004 g cm⁻³. As for the volume: 95.4 Å³/f.u.

Cell lengths 5.1281, 5.1281, 5.1281 Å; angles 60.00, 60.00, 60.00 degrees
Fractional positions:
1 Tm 0.7500 0.7500 0.7500
2 Tm 0.2500 0.2500 0.2500
3 Li 0.5000 0.5000 0.5000
4 In 0.0000 0.0000 0.0000

=====

8.
# Co2BiSe2

A geometry-optimized Co2BiSe2 structure (GGA-PBEsol, Alexandria).

Summary:
As for the crystal system: tetragonal. The space group is I4/mmm, No. 139. For the total magnetic moment, the calculation gives 0.000 μB/f.u. The density of states at the Fermi level is 2.37 states/eV/cell. The total energy comes out at -0.4145 Ry/atom. The calculation puts the density at 8.187 g cm⁻³. As for the volume: 98.3 Å³/f.u.

Cell lengths 3.4734, 3.4734, 8.5121 Å; angles 101.77, 101.77, 90.00 degrees
Fractional positions:
1 Se 0.3413 0.3413 0.6825
2 Se 0.6587 0.6587 0.3175
3 Bi 0.0000 0.0000 0.0000
4 Co 0.7500 0.2500 0.5000
5 Co 0.2500 0.7500 0.5000

=====

9.
# Li2TlIn

A geometry-optimized Li2TlIn structure (GGA-PBEsol, Alexandria).

Summary:
As for the crystal system: cubic. The space group is F-43m, No. 216. The formation energy comes out at -247 meV/atom. For the total magnetic moment, the calculation gives 0.000 μB/f.u. The density of states at the Fermi level is 0.65 states/eV/cell. The total energy comes out at -0.1936 Ry/atom. The calculation puts the density at 6.805 g cm⁻³. As for the volume: 81.3 Å³/f.u.

Cell lengths 4.8622, 4.8622, 4.8622 Å; angles 60.00, 60.00, 60.00 degrees
Fractional positions:
1 Tl 0.2500 0.2500 0.2500
2 Li 0.0000 0.0000 0.0000
3 Li 0.7500 0.7500 0.7500
4 In 0.5000 0.5000 0.5000

=====

10.
# DyCuPb

A geometry-optimized DyCuPb structure (GGA-PBEsol, Alexandria).

Summary:
As for the crystal system: hexagonal. The space group is P6_3/mmc, No. 194. The formation energy comes out at -368 meV/atom. For the total magnetic moment, the calculation gives 0.000 μB/f.u. The density of states at the Fermi level is 2.77 states/eV/cell. The total energy comes out at -0.3532 Ry/atom. The calculation puts the density at 11.121 g cm⁻³. As for the volume: 64.7 Å³/f.u.

Cell lengths 4.5439, 4.5439, 7.2359 Å; angles 90.00, 90.00, 120.00 degrees
Fractional positions:
1 Cu 0.3333 0.6667 0.2500
2 Cu 0.6667 0.3333 0.7500
3 Pb 0.6667 0.3333 0.2500
4 Pb 0.3333 0.6667 0.7500
5 Dy 0.0000 0.0000 0.0000
6 Dy 0.0000 0.0000 0.5000